Computed, not measured: crystalline Sm6ErCd at its relaxed geometry at the PBE level of DFT.

The structure in CIF format:
```
data_Sm6ErCd
_symmetry_space_group_name_H-M 'P 4/m m m'
_symmetry_Int_Tables_number 123
_symmetry_space_group_name_Hall '-P 4 2'
_cell_length_a 4.9732
_cell_length_b 4.9732
_cell_length_c 10.1747
_cell_angle_alpha 90.00
_cell_angle_beta 90.00
_cell_angle_gamma 90.00
loop_
_atom_site_label
_atom_site_fract_x
_atom_site_fract_y
_atom_site_fract_z
Sm1 0.0000 0.0000 0.0000
Sm2 0.0000 0.0000 0.5000
Sm3 0.0000 0.5000 0.2454
Er1 0.5000 0.5000 0.5000
Cd1 0.5000 0.5000 0.0000
```

## Properties
The distance to the lowest polymorph of the same formula is 0.0 meV per atom. The calculation puts the density of states at the Fermi level at 10.91 states/eV/f.u. The formation energy is -0.037 eV per atom.